# 1
Compound: Tc3RhO
Source: Alexandria via LeMat-Bulk
Functional: GGA-PBE
Structure: relaxed

Geometry as CIF:
```
data_Tc3RhO
_chemical_formula_sum 'Tc3 Rh1 O1'
_cell_length_a 4.6904
_cell_length_b 4.6904
_cell_length_c 4.6904
_cell_angle_alpha 90.00
_cell_angle_beta 90.00
_cell_angle_gamma 90.00
_space_group_name_H-M_alt 'P 1'
_space_group_IT_number 1
loop_
_space_group_symop_operation_xyz
'x,y,z'
loop_
_atom_site_label
_atom_site_type_symbol
_atom_site_fract_x
_atom_site_fract_y
_atom_site_fract_z
_atom_site_occupancy
Tc1 Tc 0.0000 0.0000 0.5000 1
Tc2 Tc 0.0000 0.5000 0.0000 1
Tc3 Tc 0.5000 0.0000 0.0000 1
Rh1 Rh 0.0000 0.0000 0.0000 1
O1 O 0.5000 0.5000 0.5000 1
```

Computed properties:
distance to the lowest polymorph of the same formula = 2353 meV/atom
V = 103.2 Å³/cell
total DFT energy (no corrections) = -0.2323 hartree per atom
E_form (uncorrected) = 2.36 eV/atom

# 2
Compound: TcRh2O6
Source: Alexandria via LeMat-Bulk
Functional: GGA-PBE
Structure: relaxed

Geometry as CIF:
```
data_TcRh2O6
_chemical_formula_sum 'Tc3 Rh6 O18'
_cell_length_a 8.6857
_cell_length_b 8.6857
_cell_length_c 4.4804
_cell_angle_alpha 90.00
_cell_angle_beta 90.00
_cell_angle_gamma 120.00
_space_group_name_H-M_alt 'P 1'
_space_group_IT_number 1
loop_
_space_group_symop_operation_xyz
'x,y,z'
loop_
_atom_site_label
_atom_site_type_symbol
_atom_site_fract_x
_atom_site_fract_y
_atom_site_fract_z
_atom_site_occupancy
Tc1 Tc 0.0000 0.0000 0.0000 1
Tc2 Tc 0.3333 0.6667 0.5053 1
Tc3 Tc 0.6667 0.3333 0.4947 1
Rh1 Rh 0.0000 0.3181 0.5000 1
Rh2 Rh 0.0000 0.6505 0.0000 1
Rh3 Rh 0.3181 0.0000 0.5000 1
Rh4 Rh 0.3495 0.3495 0.0000 1
Rh5 Rh 0.6505 0.0000 0.0000 1
Rh6 Rh 0.6819 0.6819 0.5000 1
O1 O 0.0982 0.8828 0.7605 1
O2 O 0.1172 0.2154 0.7605 1
O3 O 0.1193 0.5444 0.7513 1
O4 O 0.2154 0.1172 0.2395 1
O5 O 0.2200 0.7681 0.2619 1
O6 O 0.2319 0.4520 0.2619 1
O7 O 0.4251 0.8807 0.7513 1
O8 O 0.4520 0.2319 0.7381 1
O9 O 0.4556 0.5749 0.7513 1
O10 O 0.5444 0.1193 0.2487 1
O11 O 0.5480 0.7800 0.2619 1
O12 O 0.5749 0.4556 0.2487 1
O13 O 0.7681 0.2200 0.7381 1
O14 O 0.7800 0.5480 0.7381 1
O15 O 0.7846 0.9018 0.7605 1
O16 O 0.8807 0.4251 0.2487 1
O17 O 0.8828 0.0982 0.2395 1
O18 O 0.9018 0.7846 0.2395 1
```

Computed properties:
V = 292.7 Å³/cell
total DFT energy (no corrections) = -0.2590 hartree per atom
E_form (uncorrected) = -0.96 eV/atom

# 3
Compound: Tc2RhO6
Source: Alexandria via LeMat-Bulk
Functional: GGA-PBE
Structure: relaxed

Geometry as CIF:
```
data_Tc2RhO6
_chemical_formula_sum 'Tc6 Rh3 O18'
_cell_length_a 8.6436
_cell_length_b 8.6436
_cell_length_c 4.5315
_cell_angle_alpha 90.00
_cell_angle_beta 90.00
_cell_angle_gamma 120.00
_space_group_name_H-M_alt 'P 1'
_space_group_IT_number 1
loop_
_space_group_symop_operation_xyz
'x,y,z'
loop_
_atom_site_label
_atom_site_type_symbol
_atom_site_fract_x
_atom_site_fract_y
_atom_site_fract_z
_atom_site_occupancy
Tc1 Tc 0.0000 0.3451 0.0000 1
Tc2 Tc 0.0000 0.6787 0.5000 1
Tc3 Tc 0.3213 0.3213 0.5000 1
Tc4 Tc 0.3451 0.0000 0.0000 1
Tc5 Tc 0.6549 0.6549 0.0000 1
Tc6 Tc 0.6787 0.0000 0.5000 1
Rh1 Rh 0.0000 0.0000 0.0000 1
Rh2 Rh 0.3333 0.6667 0.4965 1
Rh3 Rh 0.6667 0.3333 0.5035 1
O1 O 0.1005 0.5580 0.2480 1
O2 O 0.1142 0.2327 0.2421 1
O3 O 0.1185 0.8858 0.2421 1
O4 O 0.2102 0.4335 0.7405 1
O5 O 0.2233 0.7898 0.7405 1
O6 O 0.2327 0.1142 0.7579 1
O7 O 0.4335 0.2102 0.2595 1
O8 O 0.4420 0.5425 0.2480 1
O9 O 0.4575 0.8995 0.2480 1
O10 O 0.5425 0.4420 0.7520 1
O11 O 0.5580 0.1005 0.7520 1
O12 O 0.5665 0.7767 0.7405 1
O13 O 0.7673 0.8815 0.2421 1
O14 O 0.7767 0.5665 0.2595 1
O15 O 0.7898 0.2233 0.2595 1
O16 O 0.8815 0.7673 0.7579 1
O17 O 0.8858 0.1185 0.7579 1
O18 O 0.8995 0.4575 0.7520 1
```

Computed properties:
V = 293.2 Å³/cell
total DFT energy (no corrections) = -0.2789 hartree per atom
E_form (uncorrected) = -1.16 eV/atom

# 4
Compound: Tc2Rh2O
Source: Alexandria via LeMat-Bulk
Functional: GGA-PBE
Structure: relaxed

Geometry as CIF:
```
data_Tc2Rh2O
_chemical_formula_sum 'Tc4 Rh4 O2'
_cell_length_a 5.5470
_cell_length_b 5.5470
_cell_length_c 4.5233
_cell_angle_alpha 90.00
_cell_angle_beta 90.00
_cell_angle_gamma 90.00
_space_group_name_H-M_alt 'P 1'
_space_group_IT_number 1
loop_
_space_group_symop_operation_xyz
'x,y,z'
loop_
_atom_site_label
_atom_site_type_symbol
_atom_site_fract_x
_atom_site_fract_y
_atom_site_fract_z
_atom_site_occupancy
Tc1 Tc 0.1527 0.3473 0.0000 1
Tc2 Tc 0.3473 0.8473 0.0000 1
Tc3 Tc 0.6527 0.1527 0.0000 1
Tc4 Tc 0.8473 0.6527 0.0000 1
Rh1 Rh 0.1757 0.6757 0.5000 1
Rh2 Rh 0.3243 0.1757 0.5000 1
Rh3 Rh 0.6757 0.8243 0.5000 1
Rh4 Rh 0.8243 0.3243 0.5000 1
O1 O 0.0000 0.0000 0.5000 1
O2 O 0.5000 0.5000 0.5000 1
```

Computed properties:
V = 139.2 Å³/cell
total DFT energy (no corrections) = -0.2802 hartree per atom
E_form (uncorrected) = 0.45 eV/atom

# 5
Compound: Tc3RhO
Source: Alexandria via LeMat-Bulk
Functional: GGA-PBE
Structure: relaxed

Geometry as CIF:
```
data_Tc3RhO
_chemical_formula_sum 'Tc3 Rh1 O1'
_cell_length_a 4.0412
_cell_length_b 4.0412
_cell_length_c 4.0412
_cell_angle_alpha 90.00
_cell_angle_beta 90.00
_cell_angle_gamma 90.00
_space_group_name_H-M_alt 'P 1'
_space_group_IT_number 1
loop_
_space_group_symop_operation_xyz
'x,y,z'
loop_
_atom_site_label
_atom_site_type_symbol
_atom_site_fract_x
_atom_site_fract_y
_atom_site_fract_z
_atom_site_occupancy
Tc1 Tc 0.0000 0.0000 0.5000 1
Tc2 Tc 0.0000 0.5000 0.0000 1
Tc3 Tc 0.5000 0.0000 0.0000 1
Rh1 Rh 0.5000 0.5000 0.5000 1
O1 O 0.0000 0.0000 0.0000 1
```

Computed properties:
distance to the lowest polymorph of the same formula = 0 meV/atom
V = 66.0 Å³/cell
total DFT energy (no corrections) = -0.3188 hartree per atom
E_form (uncorrected) = 0.01 eV/atom

# 6
Compound: TcRhO3
Source: Alexandria via LeMat-Bulk
Functional: GGA-PBE
Structure: relaxed

Geometry as CIF:
```
data_TcRhO3
_chemical_formula_sum 'Tc1 Rh1 O3'
_cell_length_a 3.8575
_cell_length_b 3.8575
_cell_length_c 3.8575
_cell_angle_alpha 90.00
_cell_angle_beta 90.00
_cell_angle_gamma 90.00
_space_group_name_H-M_alt 'P 1'
_space_group_IT_number 1
loop_
_space_group_symop_operation_xyz
'x,y,z'
loop_
_atom_site_label
_atom_site_type_symbol
_atom_site_fract_x
_atom_site_fract_y
_atom_site_fract_z
_atom_site_occupancy
Tc1 Tc 0.0000 0.0000 0.0000 1
Rh1 Rh 0.5000 0.5000 0.5000 1
O1 O 0.0000 0.0000 0.5000 1
O2 O 0.0000 0.5000 0.0000 1
O3 O 0.5000 0.0000 0.0000 1
```

Computed properties:
V = 57.4 Å³/cell
total DFT energy (no corrections) = -0.2538 hartree per atom
E_form (uncorrected) = -0.39 eV/atom

# 7
Compound: TcRh2O
Source: Alexandria via LeMat-Bulk
Functional: GGA-PBE
Structure: relaxed

Geometry as CIF:
```
data_TcRh2O
_chemical_formula_sum 'Tc2 Rh4 O2'
_cell_length_a 5.5879
_cell_length_b 5.5879
_cell_length_c 5.5879
_cell_angle_alpha 119.06
_cell_angle_beta 119.06
_cell_angle_gamma 91.64
_space_group_name_H-M_alt 'P 1'
_space_group_IT_number 1
loop_
_space_group_symop_operation_xyz
'x,y,z'
loop_
_atom_site_label
_atom_site_type_symbol
_atom_site_fract_x
_atom_site_fract_y
_atom_site_fract_z
_atom_site_occupancy
Tc1 Tc 0.0000 0.0000 0.0000 1
Tc2 Tc 0.7500 0.2500 0.5000 1
Rh1 Rh 0.1699 0.6250 0.0449 1
Rh2 Rh 0.3750 0.4199 0.5449 1
Rh3 Rh 0.5801 0.1250 0.9551 1
Rh4 Rh 0.8750 0.8301 0.4551 1
O1 O 0.2500 0.7500 0.5000 1
O2 O 0.5000 0.5000 0.0000 1
```

Computed properties:
V = 125.1 Å³/cell
total DFT energy (no corrections) = -0.2597 hartree per atom
E_form (uncorrected) = 0.44 eV/atom

# 8
Compound: TcRhO3
Source: Alexandria via LeMat-Bulk
Functional: GGA-PBE
Structure: relaxed

Geometry as CIF:
```
data_TcRhO3
_chemical_formula_sum 'Tc1 Rh1 O3'
_cell_length_a 3.8982
_cell_length_b 3.8982
_cell_length_c 3.8982
_cell_angle_alpha 90.00
_cell_angle_beta 90.00
_cell_angle_gamma 90.00
_space_group_name_H-M_alt 'P 1'
_space_group_IT_number 1
loop_
_space_group_symop_operation_xyz
'x,y,z'
loop_
_atom_site_label
_atom_site_type_symbol
_atom_site_fract_x
_atom_site_fract_y
_atom_site_fract_z
_atom_site_occupancy
Tc1 Tc 0.0000 0.0000 0.0000 1
Rh1 Rh 0.5000 0.5000 0.5000 1
O1 O 0.0000 0.5000 0.5000 1
O2 O 0.5000 0.0000 0.5000 1
O3 O 0.5000 0.5000 0.0000 1
```

Computed properties:
V = 59.2 Å³/cell
total DFT energy (no corrections) = -0.2343 hartree per atom
E_form (uncorrected) = 0.14 eV/atom